# 1
VASP calculation (PBE-GGA) on a relaxed structure of Tb6Sm2Y3Sc.

energy of formation from the pure elements = 26 meV per atom

Unit cell a=6.145 b=6.145 c=11.775 alpha=94.97 beta=94.97 gamma=119.98
Atoms (fractional coordinates):
Y 0.834 0.166 0.500
Y 0.166 0.834 0.500
Y 0.500 0.500 0.500
Tb 0.248 0.248 0.751
Tb 0.082 0.413 0.248
Tb 0.752 0.752 0.249
Tb 0.413 0.082 0.248
Tb 0.918 0.587 0.752
Tb 0.587 0.918 0.752
Sc 0.000 0.000 0.000
Sm 0.334 0.666 0.000
Sm 0.666 0.334 0.000

***

# 2
VASP calculation (PBE-GGA) on a relaxed structure of Tb6SmY2Sc.

energy of formation from the pure elements = 131 meV per atom

Unit cell a=9.203 b=8.808 c=8.808 alpha=116.72 beta=92.50 gamma=92.50
Atoms (fractional coordinates):
Tb 0.109 0.712 0.481
Tb 0.193 0.556 0.995
Tb 0.693 0.995 0.556
Tb 0.807 0.444 0.005
Tb 0.944 0.875 0.234
Tb 0.391 0.519 0.288
Tb 0.891 0.288 0.519
Tb 0.056 0.125 0.766
Tb 0.556 0.766 0.125
Tb 0.307 0.005 0.444
Tb 0.609 0.481 0.712
Tb 0.444 0.234 0.875
Sc 0.250 0.419 0.581
Sc 0.750 0.581 0.419
Sm 0.750 0.030 0.970
Sm 0.250 0.970 0.030
Y 0.948 0.691 0.793
Y 0.552 0.207 0.309
Y 0.052 0.309 0.207
Y 0.448 0.793 0.691

***

# 3
VASP calculation (PBE-GGA) on a relaxed structure of TbSmY2Sc.

energy of formation from the pure elements = 373 meV per atom

Unit cell a=6.374 b=6.375 c=8.579 alpha=111.81 beta=90.00 gamma=90.00
Atoms (fractional coordinates):
Tb 0.750 0.750 0.500
Tb 0.250 0.250 0.500
Y 0.500 0.751 0.000
Y 0.000 0.751 0.000
Y 0.000 0.249 0.000
Y 0.500 0.249 0.000
Sm 0.250 0.662 0.324
Sm 0.750 0.338 0.676
Sc 0.250 0.845 0.691
Sc 0.750 0.155 0.309

***

| no. | total energy (eV/atom) |
| --- | --- |
| 1 | -5.219 |
| 2 | -5.045 |
| 3 | -5.348 |